Entry 1:
Compound: MgInRe2Ag
Source: the Alexandria database
Functional: GGA-PBE
Structure: relaxed

Geometry as POSCAR:
```
MgInRe2Ag
1.0
4.983 0.000 0.000
0.000 4.925 0.000
0.000 0.000 4.983
Mg Re In Ag
1 2 1 1
direct
0.500 0.500 0.500
0.000 0.000 0.500
0.500 0.000 0.000
0.000 0.500 0.000
0.000 0.000 0.000
```

## Properties
D(E_F) ... 4.74 states/eV per cell
E ... -4.318 eV/atom
Space group ... P4/mmm
DFT formation energy ... 2.099 eV/atom



Entry 2:
Compound: Pa3Si3Pd2
Source: the Alexandria database
Functional: GGA-PBE
Structure: relaxed

Geometry as POSCAR:
```
Pa3Si3Pd2
1.0
4.206 0.000 0.000
-2.103 5.242 0.000
0.000 0.000 14.126
Pd Pa Si
4 6 6
direct
0.789 0.578 0.902
0.211 0.422 0.098
0.789 0.578 0.598
0.211 0.422 0.402
0.919 0.837 0.116
0.368 0.737 0.750
0.081 0.163 0.616
0.081 0.163 0.884
0.632 0.263 0.250
0.919 0.837 0.384
0.394 0.789 0.538
0.394 0.789 0.962
0.606 0.211 0.462
0.606 0.211 0.038
0.349 0.698 0.250
0.651 0.302 0.750
```

## Properties
D(E_F) ... 15.88 states/eV per cell
Formation energy (no corrections) ... -691 meV/atom
E ... -7.584 eV/atom
Space group ... Cmcm



Entry 3:
Compound: SmHoSiRh
Source: the Alexandria database
Functional: GGA-PBE
Structure: relaxed

Geometry as POSCAR:
```
SmHoSiRh
1.0
4.189 0.000 0.000
0.000 4.058 0.000
-2.094 0.000 5.269
Rh Ho Si Sm
1 1 1 1
direct
0.425 0.000 0.850
0.863 0.500 0.726
0.567 0.500 0.134
0.145 0.000 0.290
```

## Properties
D(E_F) ... 3.04 states/eV per cell
Formation energy (no corrections) ... -821 meV/atom
E ... -6.339 eV/atom
Space group ... Amm2



Entry 4:
Compound: Sm12Co6Pd
Source: the Alexandria database
Functional: GGA-PBE
Structure: relaxed

Geometry as POSCAR:
```
Sm12Co6Pd
1.0
-2.190 -6.409 -5.097
5.131 -2.872 6.105
-6.964 3.334 3.499
Sm Co Pd
12 6 1
direct
0.807 0.698 0.505
0.193 0.302 0.495
0.505 0.807 0.698
0.698 0.505 0.807
0.302 0.495 0.193
0.495 0.193 0.302
0.302 0.109 0.807
0.109 0.807 0.302
0.807 0.302 0.109
0.193 0.698 0.891
0.698 0.891 0.193
0.891 0.193 0.698
0.113 0.613 0.500
0.500 0.113 0.613
0.613 0.500 0.113
0.500 0.887 0.387
0.887 0.387 0.500
0.387 0.500 0.887
0.000 0.000 0.000
```

## Properties
D(E_F) ... 12.13 states/eV per cell
E ... -5.671 eV/atom
Space group ... Im-3
DFT formation energy ... -0.173 eV/atom



Entry 5:
Compound: Tl2CdTe2
Source: the Alexandria database
Functional: GGA-PBE
Structure: relaxed

Geometry as POSCAR:
```
Tl2CdTe2
1.0
8.269 0.000 0.000
0.000 8.269 0.000
0.000 0.000 5.049
Te Tl Cd
4 4 2
direct
0.678 0.178 0.000
0.178 0.322 0.000
0.322 0.822 0.000
0.822 0.678 0.000
0.638 0.862 0.500
0.862 0.362 0.500
0.362 0.138 0.500
0.138 0.638 0.500
0.500 0.500 0.000
0.000 0.000 0.000
```

## Properties
D(E_F) ... 0.85 states/eV per cell
Formation energy (no corrections) ... -159 meV/atom
Energy above the lowest structure with this stoichiometry ... 180 meV/atom
E ... -2.545 eV/atom
Space group ... P4/mbm



Entry 6:
Compound: FeOs3Au
Source: the Alexandria database
Functional: GGA-PBE
Structure: relaxed

Geometry as POSCAR:
```
FeOs3Au
1.0
4.413 0.000 0.000
0.000 4.413 0.000
0.000 0.000 4.413
Os Fe Au
3 1 1
direct
0.000 0.000 0.500
0.000 0.500 0.000
0.500 0.000 0.000
0.000 0.000 0.000
0.500 0.500 0.500
```

## Properties
D(E_F) ... 7.43 states/eV per cell
E ... -7.284 eV/atom
Space group ... Pm-3m
DFT formation energy ... 1.802 eV/atom



Entry 7:
Compound: BeOs2Rh
Source: the Alexandria database
Functional: GGA-PBE
Structure: relaxed

Geometry as POSCAR:
```
BeOs2Rh
1.0
-3.643 0.766 1.738
0.358 -2.952 2.051
1.631 1.970 2.551
Os Rh Be
2 1 1
direct
0.000 0.500 0.500
0.000 0.000 0.000
0.500 0.500 0.000
0.500 0.000 0.500
```

## Properties
D(E_F) ... 4.42 states/eV per cell
E ... -8.132 eV/atom
Space group ... P4/mmm
DFT formation energy ... 0.253 eV/atom



Entry 8:
Compound: TbSm2MgN
Source: the Alexandria database
Functional: GGA-PBE
Structure: relaxed

Geometry as POSCAR:
```
TbSm2MgN
1.0
4.853 0.000 0.000
0.000 5.030 0.000
0.000 0.000 5.030
Mg Sm Tb N
1 2 1 1
direct
0.500 0.500 0.500
0.000 0.500 0.000
0.000 0.000 0.500
0.500 0.000 0.000
0.000 0.000 0.000
```

## Properties
D(E_F) ... 5.35 states/eV per cell
Formation energy (no corrections) ... -655 meV/atom
E ... -5.452 eV/atom
Space group ... P4/mmm